1.
Compound: ZnGe2Bi
Source: the Alexandria database
Functional: PBE
Structure: optimized geometry

Values from the calculation:
- energy relative to the elements (eV per atom) = 0.232
- energy above the lowest structure with this stoichiometry (eV/atom) = 0.000
- calculated volume (Å³ per atom) = 28.24

Cell and atoms, written as POSCAR:
```
ZnGe2Bi
1.0
-3.052 3.052 6.065
3.052 -3.052 6.065
3.052 3.052 -6.065
Zn Ge Bi
2 4 2
direct
0.000 0.000 0.000
0.750 0.250 0.500
0.080 0.625 0.955
0.375 0.330 0.455
0.670 0.125 0.045
0.875 0.920 0.545
0.250 0.750 0.500
0.500 0.500 0.000
```

---

2.
Compound: Zn2Ge2Bi
Source: the Alexandria database
Functional: PBE
Structure: optimized geometry

Values from the calculation:
- energy relative to the elements (eV per atom) = 0.231
- energy above the lowest structure with this stoichiometry (eV/atom) = 0.042
- calculated volume (Å³ per atom) = 20.97

Cell and atoms, written as POSCAR:
```
Zn2Ge2Bi
1.0
8.173 0.000 0.000
0.000 8.173 0.000
0.000 0.000 3.139
Zn Ge Bi
4 4 2
direct
0.123 0.377 0.000
0.377 0.877 0.000
0.623 0.123 0.000
0.877 0.623 0.000
0.172 0.672 0.500
0.328 0.172 0.500
0.672 0.828 0.500
0.828 0.328 0.500
0.000 0.000 0.500
0.500 0.500 0.500
```

---

> Among the records above, which one has the highest calculated volume?

ZnGe2Bi

---

> Which of these has the lowest energy relative to the elements?

Zn2Ge2Bi

---

> The highest energy relative to the elements belongs to which entry?

ZnGe2Bi